[1]
Computed, not measured: an optimized crystal structure of RbLi2NiPd at the PBE level of DFT.

It has space group P4/mmm (No. 123), with a = 4.755 Å, b = 4.755 Å, c = 5.820 Å, α = 90.00°, β = 90.00° and γ = 90.00°. The distinct sites, in fractional coordinates, are Rb at (0.000, 0.000, 0.000), Li at (0.000, 0.500, 0.500), Ni at (0.000, 0.000, 0.500) and Pd at (0.500, 0.500, 0.000).

The value obtained for the electronic total energy is -12.3 eV per cell. For the calculated density, the calculation gives 3.3 g/cm³. For the density of states at the Fermi level, the calculation gives 1.138 states/eV per atom. The energy of formation from the pure elements comes out at 3.42 eV/f.u. The volume is 131.6 Å³ per cell. The total moment is 0.57 μB per cell.

=====

[2]
Computed, not measured: an optimized crystal structure of Li2NiSb2Pd at the PBE level of DFT.

It has space group Ibam (No. 72), with a = 5.886 Å, b = 12.589 Å, c = 5.906 Å, α = 90.00°, β = 90.00° and γ = 90.00°. The distinct sites, in fractional coordinates, are Li at (0.240, 0.144, 0.000), Ni at (0.000, 0.500, 0.250), Sb at (0.227, 0.370, 0.000) and Pd at (0.000, 0.000, 0.250).

The value obtained for the electronic total energy is -103.4 eV per cell. For the calculated density, the calculation gives 6.4 g/cm³. For the density of states at the Fermi level, the calculation gives 0.725 states/eV per atom. The volume is 437.6 Å³ per cell. The value obtained for the uncorrected formation energy is -0.47 eV/atom. The total moment is 0.00 μB per cell.

=====

[3]
Computed, not measured: an optimized crystal structure of LiNi3Pd2Se8 at the PBE level of DFT.

It has space group R3m (No. 160, hexagonal axes), with a = 7.2267 Å, b = 7.2267 Å, c = 18.3850 Å, α = 90.00°, β = 90.00° and γ = 120.00°. The distinct sites, in fractional coordinates, are Li at (0.0000, 0.0000, 0.0000), Ni at (0.0021, 0.5010, 0.8697), Pd at (0.0000, 0.0000, 0.3690), Pd at (0.0000, 0.0000, 0.7401), Se at (0.0000, 0.0000, 0.1348), Se at (0.0000, 0.0000, 0.6038), Se at (0.0322, 0.5161, 0.1283) and Se at (0.1813, 0.3626, 0.9439).

The value obtained for the electronic total energy is -187.5 eV per cell. For the calculated density, the calculation gives 6.2 g/cm³. For the density of states at the Fermi level, the calculation gives 0.571 states/eV per atom. The volume is 831.5 Å³ per cell. The value obtained for the uncorrected formation energy is -0.36 eV/atom. The total moment is 0.00 μB per cell.

=====

[4]
Computed, not measured: an optimized crystal structure of LiTaNiPd at the PBE level of DFT.

It has space group F-43m (No. 216), with a = 6.118 Å, b = 6.118 Å, c = 6.118 Å, α = 90.00°, β = 90.00° and γ = 90.00°. The distinct sites, in fractional coordinates, are Li at (0.000, 0.000, 0.000), Ta at (0.000, 0.000, 0.500), Ni at (0.250, 0.250, 0.750) and Pd at (0.250, 0.250, 0.250).

The value obtained for the electronic total energy is -101.5 eV per cell. For the calculated density, the calculation gives 10.2 g/cm³. For the density of states at the Fermi level, the calculation gives 0.971 states/eV per atom. The energy of formation from the pure elements comes out at -0.62 eV/f.u. The volume is 229.0 Å³ per cell. The total moment is 0.00 μB per cell.

=====

[5]
Computed, not measured: an optimized crystal structure of LiNiTePd at the PBE level of DFT.

It has space group F-43m (No. 216), with a = 6.272 Å, b = 6.272 Å, c = 6.272 Å, α = 90.00°, β = 90.00° and γ = 90.00°. The distinct sites, in fractional coordinates, are Li at (0.000, 0.000, 0.000), Ni at (0.250, 0.250, 0.250), Te at (0.000, 0.000, 0.500) and Pd at (0.250, 0.250, 0.750).

The value obtained for the electronic total energy is -69.3 eV per cell. For the calculated density, the calculation gives 8.1 g/cm³. For the density of states at the Fermi level, the calculation gives 0.465 states/eV per atom. The volume is 246.7 Å³ per cell. The value obtained for the uncorrected formation energy is -0.32 eV/atom. The total moment is 0.00 μB per cell.

=====

[6]
Computed, not measured: an optimized crystal structure of Li2NiTePd at the PBE level of DFT.

It has space group P4/mmm (No. 123), with a = 4.483 Å, b = 4.483 Å, c = 4.774 Å, α = 90.00°, β = 90.00° and γ = 90.00°. The distinct sites, in fractional coordinates, are Li at (0.000, 0.500, 0.000), Ni at (0.000, 0.000, 0.500), Te at (0.500, 0.500, 0.500) and Pd at (0.000, 0.000, 0.000).

The value obtained for the electronic total energy is -17.4 eV per cell. For the calculated density, the calculation gives 5.3 g/cm³. For the density of states at the Fermi level, the calculation gives 0.849 states/eV per atom. The volume is 96.0 Å³ per cell. The value obtained for the uncorrected formation energy is 0.11 eV/atom. The total moment is 0.76 μB per cell.

=====

[7]
Computed, not measured: an optimized crystal structure of LiNiTe2Pd at the PBE level of DFT.

It has space group P4/mmm (No. 123), with a = 5.270 Å, b = 5.270 Å, c = 4.767 Å, α = 90.00°, β = 90.00° and γ = 90.00°. The distinct sites, in fractional coordinates, are Li at (0.000, 0.000, 0.000), Ni at (0.500, 0.500, 0.000), Te at (0.000, 0.500, 0.500) and Pd at (0.500, 0.500, 0.500).

The value obtained for the electronic total energy is -17.9 eV per cell. For the calculated density, the calculation gives 5.4 g/cm³. For the density of states at the Fermi level, the calculation gives 1.236 states/eV per atom. The volume is 132.4 Å³ per cell. The value obtained for the uncorrected formation energy is 0.25 eV/atom. The total moment is 0.98 μB per cell.

=====

[8]
Computed, not measured: an optimized crystal structure of LiThNiPd at the PBE level of DFT.

It has space group F-43m (No. 216), with a = 6.739 Å, b = 6.739 Å, c = 6.739 Å, α = 90.00°, β = 90.00° and γ = 90.00°. The distinct sites, in fractional coordinates, are Li at (0.000, 0.000, 0.000), Th at (0.000, 0.000, 0.500), Ni at (0.250, 0.250, 0.250) and Pd at (0.250, 0.250, 0.750).

The value obtained for the electronic total energy is -86.7 eV per cell. For the calculated density, the calculation gives 8.8 g/cm³. For the density of states at the Fermi level, the calculation gives 0.857 states/eV per atom. The energy of formation from the pure elements comes out at -1.37 eV/f.u. The volume is 306.1 Å³ per cell. The total moment is 0.00 μB per cell.

=====

[9]
Computed, not measured: an optimized crystal structure of LiTmNiPd at the PBE level of DFT.

It has space group F-43m (No. 216), with a = 6.446 Å, b = 6.446 Å, c = 6.446 Å, α = 90.00°, β = 90.00° and γ = 90.00°. The distinct sites, in fractional coordinates, are Li at (0.000, 0.000, 0.000), Tm at (0.000, 0.000, 0.500), Ni at (0.250, 0.250, 0.750) and Pd at (0.250, 0.250, 0.250).

The value obtained for the electronic total energy is -76.4 eV per cell. For the calculated density, the calculation gives 8.5 g/cm³. For the density of states at the Fermi level, the calculation gives 0.462 states/eV per atom. The energy of formation from the pure elements comes out at -1.75 eV/f.u. The volume is 267.9 Å³ per cell. The total moment is 0.00 μB per cell.

=====

[10]
Computed, not measured: an optimized crystal structure of LiYNiPd at the PBE level of DFT.

It has space group F-43m (No. 216), with a = 6.541 Å, b = 6.541 Å, c = 6.541 Å, α = 90.00°, β = 90.00° and γ = 90.00°. The distinct sites, in fractional coordinates, are Li at (0.000, 0.000, 0.000), Y at (0.000, 0.000, 0.500), Ni at (0.250, 0.250, 0.250) and Pd at (0.250, 0.250, 0.750).

The value obtained for the electronic total energy is -83.5 eV per cell. For the calculated density, the calculation gives 6.2 g/cm³. For the density of states at the Fermi level, the calculation gives 0.474 states/eV per atom. The energy of formation from the pure elements comes out at -1.52 eV/f.u. The volume is 279.8 Å³ per cell. The total moment is 0.00 μB per cell.

=====

[11]
Computed, not measured: an optimized crystal structure of Li2Zn4NiPd at the PBE level of DFT.

It has space group P2/m (No. 10), with a = 4.193 Å, b = 4.198 Å, c = 6.128 Å, α = 90.00°, β = 90.42° and γ = 90.00°. The distinct sites, in fractional coordinates, are Li at (0.000, 0.000, 0.000), Li at (0.500, 0.500, 0.500), Zn at (0.002, 0.500, 0.235), Zn at (0.498, 0.000, 0.236), Ni at (0.500, 0.500, 0.000) and Pd at (0.000, 0.000, 0.500).

The value obtained for the electronic total energy is -22.7 eV per cell. For the calculated density, the calculation gives 6.8 g/cm³. For the density of states at the Fermi level, the calculation gives 0.249 states/eV per atom. The energy of formation from the pure elements comes out at -2.83 eV/f.u. The volume is 107.9 Å³ per cell. The total moment is 0.00 μB per cell.

=====

[12]
Computed, not measured: an optimized crystal structure of Li2Zn5Ni2Pd at the PBE level of DFT.

It has space group P4/mbm (No. 127), with a = 8.665 Å, b = 8.665 Å, c = 3.816 Å, α = 90.00°, β = 90.00° and γ = 90.00°. The distinct sites, in fractional coordinates, are Li at (0.175, 0.325, 0.000), Zn at (0.000, 0.500, 0.500), Zn at (0.075, 0.797, 0.500), Ni at (0.120, 0.620, 0.000) and Pd at (0.000, 0.000, 0.000).

The value obtained for the electronic total energy is -58.7 eV per cell. For the calculated density, the calculation gives 6.5 g/cm³. For the density of states at the Fermi level, the calculation gives 0.328 states/eV per atom. The energy of formation from the pure elements comes out at -2.41 eV/f.u. The volume is 286.5 Å³ per cell. The total moment is 0.00 μB per cell.